(1)
# GGA-PBE TaNi2Ge, optimized geometry
# calculated density	11.41	Mg/m³
# calculated formation energy	-0.1749	eV/atom
# calculated total energy	-7.18	eV/atom
data_TaNi2Ge
_cell_length_a 2.871
_cell_length_b 2.871
_cell_length_c 6.548
_cell_angle_alpha 90.00
_cell_angle_beta 90.00
_cell_angle_gamma 90.00
_symmetry_space_group_name_H-M 'P 1'
_symmetry_Int_Tables_number 1
loop_
_symmetry_equiv_pos_as_xyz
'x,y,z'
loop_
_atom_site_label
_atom_site_fract_x
_atom_site_fract_y
_atom_site_fract_z
Ta1 0.500 0.500 0.500
Ni1 0.000 0.000 0.783
Ni2 0.000 0.000 0.217
Ge1 0.500 0.500 0.000

(2)
# GGA-PBE TaNiGe3, optimized geometry
# calculated density	6.14	Mg/m³
# calculated formation energy	0.9491	eV/atom
# calculated total energy	-5.35	eV/atom
data_TaNiGe3
_cell_length_a 4.983
_cell_length_b 4.983
_cell_length_c 4.983
_cell_angle_alpha 90.00
_cell_angle_beta 90.00
_cell_angle_gamma 90.00
_symmetry_space_group_name_H-M 'P 1'
_symmetry_Int_Tables_number 1
loop_
_symmetry_equiv_pos_as_xyz
'x,y,z'
loop_
_atom_site_label
_atom_site_fract_x
_atom_site_fract_y
_atom_site_fract_z
Ta1 0.000 0.000 0.000
Ni1 0.500 0.500 0.500
Ge1 0.000 0.500 0.000
Ge2 0.500 0.000 0.000
Ge3 0.000 0.000 0.500

(3)
# GGA-PBE Ta2Ni3Ge, optimized geometry
# calculated density	12.53	Mg/m³
# calculated formation energy	-0.3311	eV/atom
# calculated total energy	-7.94	eV/atom
data_Ta2Ni3Ge
_cell_length_a 4.904
_cell_length_b 4.904
_cell_length_c 7.772
_cell_angle_alpha 90.00
_cell_angle_beta 90.00
_cell_angle_gamma 120.00
_symmetry_space_group_name_H-M 'P 1'
_symmetry_Int_Tables_number 1
loop_
_symmetry_equiv_pos_as_xyz
'x,y,z'
loop_
_atom_site_label
_atom_site_fract_x
_atom_site_fract_y
_atom_site_fract_z
Ni1 0.658 0.829 0.250
Ni2 0.171 0.342 0.250
Ni3 0.829 0.171 0.750
Ta1 0.667 0.333 0.442
Ni4 0.342 0.171 0.750
Ni5 0.829 0.658 0.750
Ta2 0.333 0.667 0.558
Ge1 0.000 0.000 0.000
Ta3 0.333 0.667 0.942
Ta4 0.667 0.333 0.058
Ni6 0.171 0.829 0.250
Ge2 0.000 0.000 0.500

> calculated formation energy of number 1 (TaNi2Ge)?

-0.1749 eV/atom